(1)
First-principles (PBE) data for a relaxed EuDyS crystal, as listed in the Alexandria database.

The structure in extended XYZ format:
```
3
Lattice="-0.263 -5.822 -3.124 3.731 0.355 -0.976 -0.976 -1.738 3.321" Properties=species:S:1:pos:R:3 pbc="T T T"
Eu 0.523 -2.588 1.058
S -0.261 -5.763 -3.092
Dy 1.966 -4.676 -1.868
```

Output
DOS(E_F)	2.8	states/eV/cell
formation energy from raw total energies	-1.245	eV per atom
calculated volume	85.90	Å³/cell
theoretical density	6.7	g/cm³

***

(2)
First-principles (PBE) data for a relaxed EuDy2S4 crystal, as listed in the Alexandria database.

The structure in extended XYZ format:
```
28
Lattice="3.975 0.000 0.000 0.000 11.900 0.000 0.000 0.000 14.292" Properties=species:S:1:pos:R:3 pbc="T T T"
Eu 0.994 9.006 4.837
Eu 0.994 3.056 2.309
Eu 2.981 2.894 9.455
Eu 2.981 8.843 11.983
Dy 0.994 5.119 5.570
Dy 0.994 11.069 1.575
Dy 2.981 6.781 8.721
Dy 2.981 0.831 12.716
Dy 0.994 4.986 12.854
Dy 0.994 10.936 8.584
Dy 2.981 6.914 1.438
Dy 2.981 0.964 5.708
S 0.994 2.479 11.722
S 0.994 8.429 9.716
S 2.981 9.420 2.570
S 2.981 3.470 4.576
S 0.994 1.589 7.547
S 0.994 7.539 13.890
S 2.981 10.310 6.745
S 2.981 4.360 0.401
S 0.994 0.254 4.064
S 0.994 6.204 3.082
S 2.981 11.645 10.228
S 2.981 5.695 11.210
S 0.994 4.918 8.290
S 0.994 10.867 13.148
S 2.981 6.982 6.002
S 2.981 1.032 1.144
```

Output
DOS(E_F)	81.7	states/eV/cell
formation energy from raw total energies	-2.117	eV per atom
calculated volume	675.97	Å³/cell
theoretical density	5.9	g/cm³

***

(3)
First-principles (PBE) data for a relaxed EuDySb2 crystal, as listed in the Alexandria database.

The structure in extended XYZ format:
```
4
Lattice="3.389 0.000 0.000 0.000 5.786 0.000 0.000 0.000 5.786" Properties=species:S:1:pos:R:3 pbc="T T T"
Eu 1.694 0.000 0.000
Sb 0.000 0.000 2.893
Sb 0.000 2.893 0.000
Dy 1.694 2.893 2.893
```

Output
DOS(E_F)	4.1	states/eV/cell
formation energy from raw total energies	-0.844	eV per atom
calculated volume	113.44	Å³/cell
theoretical density	8.2	g/cm³